# As2IrF

A relaxed As2IrF crystal (PBE, Alexandria via LeMat-Bulk).

Calculated values
ΔE to the lowest computed polymorph = 0.0 kJ/mol of atoms
Total magnetization = 0.0 Bohr magnetons per cell
Formation energy (no corrections) = -1.8 eV/f.u.

Lattice parameters (Å, degrees): 6.0894 6.0894 6.0894 90.00 90.00 90.00
Space group Fm-3m (No. 225)
Inequivalent atoms, fractional coordinates:
As1 0.2500 0.2500 0.2500
Ir1 0.0000 0.0000 0.0000
F1 0.0000 0.0000 0.5000